No. 1
! SrGaIr PBE relaxed; values from VASP
! uncorrected energy: -3.8150 eV per atom
! total magnetic moment: 0.0 μB/cell
&SYSTEM
  ibrav = 0, nat = 3, ntyp = 3
/
ATOMIC_SPECIES
Ga 69.72 Ga.upf
Sr 87.62 Sr.upf
Ir 192.22 Ir.upf
CELL_PARAMETERS angstrom
-3.7066 0.6692 3.0612
-4.5660 -0.4590 -1.5805
-2.6901 -3.7830 1.4176
ATOMIC_POSITIONS crystal
Ga 0.2500 0.2500 0.2500
Sr 0.0000 0.0000 0.0000
Ir 0.7500 0.7500 0.7500


No. 2
! SrGa2Ir PBE relaxed; values from VASP
! uncorrected energy: -4.0956 eV per atom
! total magnetic moment: 0.0 μB/cell
&SYSTEM
  ibrav = 0, nat = 4, ntyp = 3
/
ATOMIC_SPECIES
Ga 69.72 Ga.upf
Sr 87.62 Sr.upf
Ir 192.22 Ir.upf
CELL_PARAMETERS angstrom
-0.6179 -4.6004 1.4335
-4.3418 -2.1282 -0.4695
-0.6420 -3.5070 -3.2999
ATOMIC_POSITIONS crystal
Ga 0.0000 0.0000 0.0000
Sr 0.7500 0.7500 0.7500
Ir 0.5000 0.5000 0.5000
Ga 0.2500 0.2500 0.2500


No. 3
! Sr2GaIr PBE relaxed; values from VASP
! uncorrected energy: -3.7594 eV per atom
! total magnetic moment: 0.0 μB/cell
&SYSTEM
  ibrav = 0, nat = 4, ntyp = 3
/
ATOMIC_SPECIES
Sr 87.62 Sr.upf
Ir 192.22 Ir.upf
Ga 69.72 Ga.upf
CELL_PARAMETERS angstrom
-0.9500 1.6049 4.7344
-3.0665 3.9875 0.7675
-4.6085 -0.6907 2.0439
ATOMIC_POSITIONS crystal
Sr 0.0000 0.0000 0.0000
Ir 0.2500 0.2500 0.2500
Ga 0.5000 0.5000 0.5000
Sr 0.7500 0.7500 0.7500


No. 4
! Sr2Zn3GaIr2 PBE relaxed; values from VASP
! uncorrected energy: -3.8634 eV per atom
! total magnetic moment: 0.0 μB/cell
&SYSTEM
  ibrav = 0, nat = 8, ntyp = 4
/
ATOMIC_SPECIES
Ga 69.72 Ga.upf
Sr 87.62 Sr.upf
Ir 192.22 Ir.upf
Zn 65.41 Zn.upf
CELL_PARAMETERS angstrom
5.5767 -2.1140 0.0000
5.5767 2.1140 0.0000
-0.0377 0.0000 7.2694
ATOMIC_POSITIONS crystal
Ga 0.8355 0.8355 0.4396
Sr 0.4400 0.4400 0.7478
Ir 0.7198 0.7198 0.7443
Zn 0.1593 0.1593 0.5635
Sr 0.5602 0.5602 0.2501
Zn 0.1708 0.1708 0.9395
Ir 0.2842 0.2842 0.2581
Zn 0.8303 0.8303 0.0572


No. 5
! Ta2GaIr PBE relaxed; values from VASP
! uncorrected energy: -8.9713 eV per atom
! total magnetic moment: 0.1 μB/cell
&SYSTEM
  ibrav = 0, nat = 4, ntyp = 3
/
ATOMIC_SPECIES
Ga 69.72 Ga.upf
Ir 192.22 Ir.upf
Ta 180.95 Ta.upf
CELL_PARAMETERS angstrom
0.0000 3.2032 3.2032
3.2032 0.0000 3.2032
3.2032 3.2032 0.0000
ATOMIC_POSITIONS crystal
Ga 0.5000 0.5000 0.5000
Ir 0.2500 0.2500 0.2500
Ta 0.7500 0.7500 0.7500
Ta 0.0000 0.0000 0.0000


No. 6
! TaGaIr2 PBE relaxed; values from VASP
! uncorrected energy: -8.2518 eV per atom
! total magnetic moment: 0.0 μB/cell
&SYSTEM
  ibrav = 0, nat = 4, ntyp = 3
/
ATOMIC_SPECIES
Ir 192.22 Ir.upf
Ga 69.72 Ga.upf
Ta 180.95 Ta.upf
CELL_PARAMETERS angstrom
-2.1676 2.8827 2.6090
-2.3871 3.2879 -1.8186
-4.4453 -0.0971 0.2115
ATOMIC_POSITIONS crystal
Ir 0.0000 0.0000 0.0000
Ga 0.5000 0.5000 0.5000
Ir 0.7500 0.7500 0.7500
Ta 0.2500 0.2500 0.2500


No. 7
! TbGa2Ir2 PBE relaxed; values from VASP
! uncorrected energy: -6.3756 eV per atom
! total magnetic moment: 0.0 μB/cell
&SYSTEM
  ibrav = 0, nat = 5, ntyp = 3
/
ATOMIC_SPECIES
Ir 192.22 Ir.upf
Ga 69.72 Ga.upf
Tb 158.93 Tb.upf
CELL_PARAMETERS angstrom
4.4281 0.6888 3.7855
-1.1154 2.4310 5.2210
-2.2119 -4.2695 -3.3603
ATOMIC_POSITIONS crystal
Ir 0.2500 0.7500 0.5000
Ga 0.3773 0.3773 0.0000
Ir 0.7500 0.2500 0.5000
Tb 0.0000 0.0000 0.0000
Ga 0.6227 0.6227 0.0000


No. 8
! Tb2Ga8Ir PBE relaxed; values from VASP
! uncorrected energy: -4.4007 eV per atom
! total magnetic moment: 0.0 μB/cell
&SYSTEM
  ibrav = 0, nat = 11, ntyp = 3
/
ATOMIC_SPECIES
Ga 69.72 Ga.upf
Tb 158.93 Tb.upf
Ir 192.22 Ir.upf
CELL_PARAMETERS angstrom
4.3125 0.0000 0.0000
0.0000 4.3125 0.0000
0.0000 0.0000 11.1588
ATOMIC_POSITIONS crystal
Ga 0.0000 0.5000 0.0000
Ga 0.5000 0.0000 0.6224
Ga 0.5000 0.0000 0.3776
Ga 0.0000 0.5000 0.6224
Tb 0.0000 0.0000 0.1926
Tb 0.0000 0.0000 0.8074
Ir 0.0000 0.0000 0.5000
Ga 0.5000 0.5000 0.1928
Ga 0.5000 0.5000 0.8072
Ga 0.0000 0.5000 0.3776
Ga 0.5000 0.0000 0.0000